1.
! PBE TbAgAu2, relaxed; values from VASP
! - Calculated formation energy: -0.46 eV/atom
! - Volume: 83.89 Å³/cell
&SYSTEM
  ibrav = 0, nat = 4, ntyp = 3
/
ATOMIC_SPECIES
Tb 158.93 Tb.upf
Ag 107.87 Ag.upf
Au 196.97 Au.upf
ATOMIC_POSITIONS crystal
Tb 0.000 0.000 0.000
Ag 0.500 0.500 0.000
Au 0.000 0.500 0.500
Au 0.500 0.000 0.500
CELL_PARAMETERS angstrom
4.603 0.000 0.000
0.000 4.603 0.000
0.000 0.000 3.959

2.
! PBE Tb2Pr2Te2Se3, relaxed; values from VASP
! - Formation energy from raw total energies: -1.444 eV per atom
! - Volume: 258.41 Å³/cell
&SYSTEM
  ibrav = 0, nat = 9, ntyp = 4
/
ATOMIC_SPECIES
Tb 158.93 Tb.upf
Pr 140.91 Pr.upf
Te 127.60 Te.upf
Se 78.96 Se.upf
ATOMIC_POSITIONS crystal
Tb 0.000 0.500 0.500
Tb 0.500 0.000 0.500
Pr 0.194 0.194 0.000
Pr 0.806 0.806 0.000
Te 0.395 0.395 0.000
Te 0.605 0.605 0.000
Se 0.000 0.000 0.000
Se 0.250 0.750 0.500
Se 0.750 0.250 0.500
CELL_PARAMETERS angstrom
-2.828 2.828 8.078
2.828 -2.828 8.078
2.828 2.828 -8.078

3.
! PBE ScCoSe2, relaxed; values from VASP
! - Formation energy from raw total energies: -0.844 eV per atom
! - Volume: 74.40 Å³/cell
&SYSTEM
  ibrav = 0, nat = 4, ntyp = 3
/
ATOMIC_SPECIES
Sc 44.96 Sc.upf
Co 58.93 Co.upf
Se 78.96 Se.upf
ATOMIC_POSITIONS crystal
Sc 0.000 0.000 0.000
Co 0.500 0.500 0.500
Se 0.242 0.242 0.242
Se 0.758 0.758 0.758
CELL_PARAMETERS angstrom
1.930 1.114 5.765
-1.930 1.114 5.765
0.000 -2.229 5.765